Density functional theory data (PBE) for a geometry-optimized Er3Al2ZnCuAu2 structure.

Results
Its crystal system is orthorhombic.

POSCAR file:
```
Er3Al2ZnCuAu2
1.0
3.994 0.000 0.000
0.000 6.213 3.617
0.000 -6.213 3.617
Er Al Zn Cu Au
3 2 1 1 2
direct
0.000 0.000 0.000 Er
0.000 0.183 0.584 Er
0.000 0.584 0.183 Er
0.500 0.592 0.821 Al
0.500 0.821 0.592 Al
0.500 0.355 0.355 Zn
0.000 0.598 0.598 Cu
0.500 0.256 0.915 Au
0.500 0.915 0.256 Au
```

=====

Density functional theory data (PBE) for a geometry-optimized Sc4Ta2Ni3C3 structure.

Results
Its crystal system is monoclinic.

POSCAR file:
```
Sc4Ta2Ni3C3
1.0
4.762 -2.763 0.000
4.762 2.763 0.000
-2.856 0.000 13.272
Sc Ta Ni C
8 4 6 6
direct
0.039 0.185 0.096 Sc
0.127 0.304 0.404 Sc
0.185 0.039 0.596 Sc
0.304 0.127 0.904 Sc
0.696 0.873 0.096 Sc
0.815 0.961 0.404 Sc
0.873 0.696 0.596 Sc
0.961 0.815 0.904 Sc
0.351 0.527 0.092 Ta
0.473 0.649 0.408 Ta
0.527 0.351 0.592 Ta
0.649 0.473 0.908 Ta
0.065 0.935 0.750 Ni
0.102 0.419 0.751 Ni
0.419 0.102 0.251 Ni
0.581 0.898 0.749 Ni
0.898 0.581 0.249 Ni
0.935 0.065 0.250 Ni
0.000 0.500 0.000 C
0.199 0.651 0.500 C
0.349 0.801 0.000 C
0.500 0.000 0.500 C
0.651 0.199 0.000 C
0.801 0.349 0.500 C
```

=====

Density functional theory data (PBE) for a geometry-optimized CsTmZnO3 structure.

Results
Its crystal system is orthorhombic.

POSCAR file:
```
CsTmZnO3
1.0
1.755 -6.662 0.000
1.755 6.662 0.000
0.000 0.000 8.940
Cs Tm Zn O
2 2 2 6
direct
0.222 0.778 0.750 Cs
0.778 0.222 0.250 Cs
0.500 0.500 0.000 Tm
0.500 0.500 0.500 Tm
0.057 0.943 0.250 Zn
0.943 0.057 0.750 Zn
0.104 0.896 0.048 O
0.104 0.896 0.452 O
0.471 0.529 0.250 O
0.529 0.471 0.750 O
0.896 0.104 0.548 O
0.896 0.104 0.952 O
```

=====

Density functional theory data (PBE) for a geometry-optimized YFeCuPb structure.

Results
Its crystal system is cubic.

POSCAR file:
```
YFeCuPb
1.0
6.741 0.000 0.000
0.000 6.741 0.000
0.000 0.000 6.741
Y Fe Cu Pb
4 4 4 4
direct
0.000 0.000 0.000 Y
0.000 0.500 0.500 Y
0.500 0.000 0.500 Y
0.500 0.500 0.000 Y
0.250 0.250 0.750 Fe
0.250 0.750 0.250 Fe
0.750 0.250 0.250 Fe
0.750 0.750 0.750 Fe
0.250 0.250 0.250 Cu
0.250 0.750 0.750 Cu
0.750 0.250 0.750 Cu
0.750 0.750 0.250 Cu
0.000 0.000 0.500 Pb
0.000 0.500 0.000 Pb
0.500 0.000 0.000 Pb
0.500 0.500 0.500 Pb
```

=====

Density functional theory data (PBE) for a geometry-optimized CsHoSbTe3 structure.

Results
Its crystal system is orthorhombic.

POSCAR file:
```
CsHoSbTe3
1.0
2.412 -8.859 0.000
2.412 8.859 0.000
0.000 0.000 12.495
Cs Ho Sb Te
2 2 2 6
direct
0.232 0.768 0.750 Cs
0.768 0.232 0.250 Cs
0.500 0.500 0.000 Ho
0.500 0.500 0.500 Ho
0.091 0.909 0.250 Sb
0.909 0.091 0.750 Sb
0.113 0.887 0.004 Te
0.113 0.887 0.496 Te
0.497 0.503 0.750 Te
0.503 0.497 0.250 Te
0.887 0.113 0.504 Te
0.887 0.113 0.996 Te
```

=====

Density functional theory data (PBE) for a geometry-optimized Ho2Te3Au structure.

Results
Its crystal system is orthorhombic.

POSCAR file:
```
Ho2Te3Au
1.0
10.771 0.000 0.000
0.000 4.087 0.000
0.000 0.000 14.807
Ho Te Au
8 12 4
direct
0.009 0.250 0.249 Ho
0.241 0.750 0.531 Ho
0.259 0.250 0.031 Ho
0.491 0.750 0.749 Ho
0.509 0.250 0.251 Ho
0.741 0.750 0.969 Ho
0.759 0.250 0.469 Ho
0.991 0.750 0.751 Ho
0.042 0.250 0.598 Te
0.059 0.750 0.096 Te
0.242 0.750 0.865 Te
0.258 0.250 0.365 Te
0.441 0.250 0.596 Te
0.458 0.750 0.098 Te
0.542 0.250 0.902 Te
0.559 0.750 0.404 Te
0.742 0.750 0.635 Te
0.758 0.250 0.135 Te
0.941 0.250 0.904 Te
0.958 0.750 0.402 Te
0.245 0.250 0.722 Au
0.255 0.750 0.222 Au
0.745 0.250 0.778 Au
0.755 0.750 0.278 Au
```

=====

Density functional theory data (PBE) for a geometry-optimized LiDySn structure.

Results
Its crystal system is cubic.

POSCAR file:
```
LiDySn
1.0
7.042 0.000 0.000
0.000 7.042 0.000
0.000 0.000 7.042
Li Dy Sn
4 4 4
direct
0.000 0.000 0.000 Li
0.000 0.500 0.500 Li
0.500 0.000 0.500 Li
0.500 0.500 0.000 Li
0.250 0.250 0.250 Dy
0.250 0.750 0.750 Dy
0.750 0.250 0.750 Dy
0.750 0.750 0.250 Dy
0.000 0.000 0.500 Sn
0.000 0.500 0.000 Sn
0.500 0.000 0.000 Sn
0.500 0.500 0.500 Sn
```

=====

Density functional theory data (PBE) for a geometry-optimized HoPuS2 structure.

Results
Its crystal system is tetragonal.

POSCAR file:
```
HoPuS2
1.0
3.911 0.000 0.000
0.000 3.911 0.000
0.000 0.000 11.070
Ho Pu S
2 2 4
direct
0.250 0.250 0.128 Ho
0.750 0.750 0.872 Ho
0.250 0.250 0.627 Pu
0.750 0.750 0.373 Pu
0.250 0.250 0.375 S
0.250 0.250 0.880 S
0.750 0.750 0.120 S
0.750 0.750 0.625 S
```

=====

Number 1: raw total energy -4.299 eV per atom. Number 2: raw total energy -8.070 eV per atom. Number 3: raw total energy -5.845 eV per atom. Number 4: raw total energy -5.458 eV per atom. Number 5: raw total energy -3.944 eV per atom. Number 6: raw total energy -4.639 eV per atom. Number 7: raw total energy -3.561 eV per atom. Number 8: raw total energy -8.679 eV per atom.